Entry from the Alexandria database: a relaxed Rb3LiCd crystal (PBE).

Cell: 7.088 7.088 7.088 Å, 90.00 90.00 90.00°
Fractional positions:
Li 0.500 0.500 0.500
Rb 0.000 0.500 0.000
Rb 0.000 0.000 0.500
Rb 0.500 0.000 0.000
Cd 0.000 0.000 0.000

Properties
electronic total energy = -0.94 eV/atom
V = 71.2 A^3/atom
excess energy over the best structure of this formula in the dataset = 0.0 meV/atom
ΔE_f = 0.210 eV/atom
D(E_F) = 5.037 states/eV per cell
density = 1752 kg/m3